# Mg2ZnIr | the Alexandria database | PBE-GGA | relaxed
data_Mg2ZnIr
_chemical_formula_sum 'Mg4 Zn2 Ir2'
_symmetry_space_group_name_H-M 'P 1'
_symmetry_Int_Tables_number 1
_symmetry_space_group_name_Hall 'P 1'
_cell_length_a 4.347
_cell_length_b 4.347
_cell_length_c 8.866
_cell_angle_alpha 90.00
_cell_angle_beta 90.00
_cell_angle_gamma 120.00
loop_
_atom_site_label
_atom_site_type_symbol
_atom_site_fract_x
_atom_site_fract_y
_atom_site_fract_z
Mg1 Mg 0.333 0.667 0.092
Mg2 Mg 0.333 0.667 0.408
Mg3 Mg 0.667 0.333 0.592
Mg4 Mg 0.667 0.333 0.908
Zn1 Zn 0.333 0.667 0.750
Zn2 Zn 0.667 0.333 0.250
Ir1 Ir 0.000 0.000 0.250
Ir2 Ir 0.000 0.000 0.750
# - energy relative to the elements (eV per formula unit) = -0.3
# - calculated volume (Å³/cell) = 145.1
# - calculated total energy (eV/atom) = -3.4054
# - space group = P6_3/mmc (194)
# - DOS(E_F) (states/eV/f.u.) = 1.82